No. 1
The following is a DFT calculation (PBE) of a geometry-optimized Ba2SiOs structure.

Computed properties:
Spin magnetization ... 0.66 μB per cell
Space group ... P4/mmm
ΔE_f (raw) ... 0.75 eV/atom

Cell and atoms, written as CIF:
```
data_Ba2SiOs
_space_group_name_H-M_alt 'P 1'
_space_group_IT_number 1
_cell_length_a 4.950
_cell_length_b 4.950
_cell_length_c 4.561
_cell_angle_alpha 90.00
_cell_angle_beta 90.00
_cell_angle_gamma 90.00
loop_
_space_group_symop_operation_xyz
'x,y,z'
loop_
_atom_site_label
_atom_site_fract_x
_atom_site_fract_y
_atom_site_fract_z
_atom_site_occupancy
Ba1 0.000 0.500 0.000 1
Ba2 0.500 0.000 0.000 1
Si1 0.000 0.000 0.500 1
Os1 0.500 0.500 0.500 1
```



No. 2
The following is a DFT calculation (PBE) of a geometry-optimized BaSiOs2 structure.

Computed properties:
Spin magnetization ... 0.00 μB per cell
Space group ... Immm
ΔE_f (raw) ... 0.82 eV/atom

Cell and atoms, written as CIF:
```
data_BaSiOs2
_space_group_name_H-M_alt 'P 1'
_space_group_IT_number 1
_cell_length_a 5.684
_cell_length_b 5.684
_cell_length_c 5.684
_cell_angle_alpha 149.85
_cell_angle_beta 122.14
_cell_angle_gamma 66.63
loop_
_space_group_symop_operation_xyz
'x,y,z'
loop_
_atom_site_label
_atom_site_fract_x
_atom_site_fract_y
_atom_site_fract_z
_atom_site_occupancy
Ba1 0.000 0.000 0.000 1
Si1 0.500 0.500 0.000 1
Os1 0.297 0.797 0.500 1
Os2 0.703 0.203 0.500 1
```



No. 3
The following is a DFT calculation (PBE) of a geometry-optimized BaSiOs2 structure.

Computed properties:
Spin magnetization ... 0.00 μB per cell
Space group ... R3m
ΔE_f (raw) ... -0.01 eV/atom

Cell and atoms, written as CIF:
```
data_BaSiOs2
_space_group_name_H-M_alt 'P 1'
_space_group_IT_number 1
_cell_length_a 6.430
_cell_length_b 6.430
_cell_length_c 6.430
_cell_angle_alpha 38.74
_cell_angle_beta 38.74
_cell_angle_gamma 38.74
loop_
_space_group_symop_operation_xyz
'x,y,z'
loop_
_atom_site_label
_atom_site_fract_x
_atom_site_fract_y
_atom_site_fract_z
_atom_site_occupancy
Ba1 0.000 0.000 0.000 1
Si1 0.199 0.199 0.199 1
Os1 0.499 0.499 0.499 1
Os2 0.809 0.809 0.809 1
```



No. 4
The following is a DFT calculation (PBE) of a geometry-optimized BaSiOs2 structure.

Computed properties:
Spin magnetization ... 0.00 μB per cell
Space group ... P4mm
ΔE_f (raw) ... 0.42 eV/atom

Cell and atoms, written as CIF:
```
data_BaSiOs2
_space_group_name_H-M_alt 'P 1'
_space_group_IT_number 1
_cell_length_a 3.009
_cell_length_b 3.009
_cell_length_c 8.466
_cell_angle_alpha 90.00
_cell_angle_beta 90.00
_cell_angle_gamma 90.00
loop_
_space_group_symop_operation_xyz
'x,y,z'
loop_
_atom_site_label
_atom_site_fract_x
_atom_site_fract_y
_atom_site_fract_z
_atom_site_occupancy
Ba1 0.000 0.000 0.000 1
Si1 0.500 0.500 0.681 1
Os1 0.000 0.000 0.501 1
Os2 0.500 0.500 0.313 1
```



No. 5
The following is a DFT calculation (PBE) of a geometry-optimized BaSiOs2 structure.

Computed properties:
Spin magnetization ... 0.82 μB per cell
Space group ... P4/mmm
ΔE_f (raw) ... 1.36 eV/atom

Cell and atoms, written as CIF:
```
data_BaSiOs2
_space_group_name_H-M_alt 'P 1'
_space_group_IT_number 1
_cell_length_a 4.420
_cell_length_b 4.420
_cell_length_c 3.807
_cell_angle_alpha 90.00
_cell_angle_beta 90.00
_cell_angle_gamma 90.00
loop_
_space_group_symop_operation_xyz
'x,y,z'
loop_
_atom_site_label
_atom_site_fract_x
_atom_site_fract_y
_atom_site_fract_z
_atom_site_occupancy
Ba1 0.000 0.000 0.000 1
Si1 0.500 0.500 0.000 1
Os1 0.000 0.500 0.500 1
Os2 0.500 0.000 0.500 1
```



No. 6
The following is a DFT calculation (PBE) of a geometry-optimized BaSiOs2 structure.

Computed properties:
Spin magnetization ... 0.00 μB per cell
Space group ... R3m
ΔE_f (raw) ... 0.79 eV/atom

Cell and atoms, written as CIF:
```
data_BaSiOs2
_space_group_name_H-M_alt 'P 1'
_space_group_IT_number 1
_cell_length_a 9.954
_cell_length_b 9.954
_cell_length_c 9.954
_cell_angle_alpha 17.30
_cell_angle_beta 17.30
_cell_angle_gamma 17.30
loop_
_space_group_symop_operation_xyz
'x,y,z'
loop_
_atom_site_label
_atom_site_fract_x
_atom_site_fract_y
_atom_site_fract_z
_atom_site_occupancy
Ba1 0.000 0.000 0.000 1
Si1 0.769 0.769 0.769 1
Os1 0.234 0.234 0.234 1
Os2 0.497 0.497 0.497 1
```



No. 7
The following is a DFT calculation (PBE) of a geometry-optimized Ba2SiOs2 structure.

Computed properties:
Spin magnetization ... 0.00 μB per cell
Space group ... P4/mbm
ΔE_f (raw) ... 0.39 eV/atom

Cell and atoms, written as CIF:
```
data_Ba2SiOs2
_space_group_name_H-M_alt 'P 1'
_space_group_IT_number 1
_cell_length_a 6.542
_cell_length_b 6.542
_cell_length_c 5.515
_cell_angle_alpha 90.00
_cell_angle_beta 90.00
_cell_angle_gamma 90.00
loop_
_space_group_symop_operation_xyz
'x,y,z'
loop_
_atom_site_label
_atom_site_fract_x
_atom_site_fract_y
_atom_site_fract_z
_atom_site_occupancy
Ba1 0.179 0.321 0.000 1
Ba2 0.321 0.821 0.000 1
Ba3 0.679 0.179 0.000 1
Ba4 0.821 0.679 0.000 1
Si1 0.000 0.000 0.500 1
Si2 0.500 0.500 0.500 1
Os1 0.130 0.630 0.500 1
Os2 0.370 0.130 0.500 1
Os3 0.630 0.870 0.500 1
Os4 0.870 0.370 0.500 1
```



No. 8
The following is a DFT calculation (PBE) of a geometry-optimized Ba2SiOs structure.

Computed properties:
Spin magnetization ... 0.11 μB per cell
Space group ... P4mm
ΔE_f (raw) ... 0.19 eV/atom

Cell and atoms, written as CIF:
```
data_Ba2SiOs
_space_group_name_H-M_alt 'P 1'
_space_group_IT_number 1
_cell_length_a 3.377
_cell_length_b 3.377
_cell_length_c 9.875
_cell_angle_alpha 90.00
_cell_angle_beta 90.00
_cell_angle_gamma 90.00
loop_
_space_group_symop_operation_xyz
'x,y,z'
loop_
_atom_site_label
_atom_site_fract_x
_atom_site_fract_y
_atom_site_fract_z
_atom_site_occupancy
Ba1 0.000 0.000 0.000 1
Ba2 0.500 0.500 0.420 1
Si1 0.500 0.500 0.758 1
Os1 0.000 0.000 0.666 1
```



Question: What is the formula in the seventh record?
Answer: Ba2SiOs2